Compound: PuTl2Co2O6
Source: the Alexandria database
Functional: PBE with a Hubbard U
Structure: optimized geometry

As for the spin magnetization: 3.8 μB/f.u. The calculation puts the final energy at -6.714 eV per atom.

The space group is C2/m (No. 12) and the conventional cell measures 5.2709, 9.1389 and 6.8038 Å, with angles of 90.00, 90.55 and 90.00 degrees. Symmetry generates all atoms from Pu at (0.0000, 0.0000, 0.0000), Tl at (0.0000, 0.3333, 0.5000), Co at (0.0000, 0.3333, 0.0000), O at (0.1388, 0.5000, 0.8462) and O at (0.1779, 0.1797, 0.8461).